# 1
Here is a geometry-optimized Pm6CdAu5 structure from Alexandria. Energies are from PBE.

**Calculated volume**: 307.11 Å³/cell
**Calculated total energy**: -4.52 eV/atom
**DOS(E_F)**: 7.54 states/eV/f.u.
**M_tot**: 0.00 μB per atom
**Formation energy**: -705.0 meV/atom
**Space-group type**: P2/m, No. 10

a b c (Å): 5.2448 7.3826 8.3564
angles (deg): 90.00 108.35 90.00
With the nearest neighbours (Å) after each atom.
Positions (direct):
1 Pm 0.0000 0.2389 0.0000  6 Au 3.11-3.19, 2 Cd 3.25
2 Pm 0.0000 0.7611 0.0000  6 Au 3.11-3.19, 2 Cd 3.25
3 Pm 0.3294 0.2487 0.6590  7 Au 3.16-3.34, 1 Cd 3.28
4 Pm 0.3294 0.7513 0.6590  7 Au 3.16-3.34, 1 Cd 3.28
5 Pm 0.6706 0.2487 0.3410  7 Au 3.16-3.34, 1 Cd 3.28
6 Pm 0.6706 0.7513 0.3410  7 Au 3.16-3.34, 1 Cd 3.28
7 Cd 0.5000 0.5000 0.0000  8 Pm 3.25-3.28, 4 Au 3.58-3.59
8 Au 0.1534 0.5000 0.3082  8 Pm 3.11-3.34
9 Au 0.1674 0.0000 0.3350  8 Pm 3.16-3.20
10 Au 0.5000 0.0000 0.0000  8 Pm 3.16-3.27
11 Au 0.8326 0.0000 0.6650  8 Pm 3.16-3.20
12 Au 0.8466 0.5000 0.6918  8 Pm 3.11-3.34

***

# 2
Here is a geometry-optimized PmCd5Au3 structure from Alexandria. Energies are from PBE.

**Calculated volume**: 410.45 Å³/cell
**Calculated total energy**: -2.40 eV/atom
**DOS(E_F)**: 4.50 states/eV/f.u.
**M_tot**: 0.00 μB per atom
**Formation energy**: -272.5 meV/atom
**Space-group type**: Cmcm, No. 63

a b c (Å): 7.8474 7.8474 11.8418
angles (deg): 90.00 90.00 145.75
With the nearest neighbours (Å) after each atom.
Positions (direct):
1 Pm 0.2207 0.7793 0.7500  6 Au 3.12-3.23, 2 Cd 3.32
2 Pm 0.7793 0.2207 0.2500  6 Au 3.12-3.23, 2 Cd 3.32
3 Cd 0.0000 0.0000 0.0000  6 Cd 2.93
4 Cd 0.0000 0.0000 0.5000  6 Cd 2.93
5 Cd 0.1943 0.8057 0.0284  4 Au 2.80-3.10, 3 Cd 2.93
6 Cd 0.1943 0.8057 0.4716  4 Au 2.80-3.10, 3 Cd 2.93
7 Cd 0.4328 0.5672 0.6254  4 Au 2.87-3.06, 5 Cd 2.93-3.21
8 Cd 0.4328 0.5672 0.8746  4 Au 2.87-3.06, 5 Cd 2.93-3.21
9 Cd 0.5672 0.4328 0.1254  4 Au 2.87-3.06, 5 Cd 2.93-3.21
10 Cd 0.5672 0.4328 0.3746  4 Au 2.87-3.06, 5 Cd 2.93-3.21
11 Cd 0.8057 0.1943 0.5284  4 Au 2.80-3.10, 3 Cd 2.93
12 Cd 0.8057 0.1943 0.9716  4 Au 2.80-3.10, 3 Cd 2.93
13 Au 0.1286 0.8714 0.2500  6 Cd 2.80-2.89
14 Au 0.3756 0.6244 0.1226  5 Cd 2.87-3.10, 1 Au 3.02, 2 Pm 3.12
15 Au 0.3756 0.6244 0.3774  5 Cd 2.87-3.10, 1 Au 3.02, 2 Pm 3.12
16 Au 0.6244 0.3756 0.6226  5 Cd 2.87-3.10, 1 Au 3.02, 2 Pm 3.12
17 Au 0.6244 0.3756 0.8774  5 Cd 2.87-3.10, 1 Au 3.02, 2 Pm 3.12
18 Au 0.8714 0.1286 0.7500  6 Cd 2.80-2.89

***

# 3
Here is a geometry-optimized PmCd8Au6 structure from Alexandria. Energies are from PBE.

**Calculated volume**: 342.69 Å³/cell
**Calculated total energy**: -2.37 eV/atom
**DOS(E_F)**: 5.83 states/eV/f.u.
**M_tot**: 0.00 μB per atom
**Formation energy**: -250.3 meV/atom
**Space-group type**: R-3, No. 148

a b c (Å): 7.4867 7.4867 7.4867
angles (deg): 67.24 67.24 67.24
With the nearest neighbours (Å) after each atom.
Positions (direct):
1 Pm 0.0000 0.0000 0.0000  6 Au 3.00
2 Cd 0.1174 0.4474 0.7911  5 Au 2.79-3.02
3 Cd 0.2089 0.8826 0.5526  5 Au 2.79-3.02
4 Cd 0.3354 0.3354 0.3354  6 Au 2.86-2.88
5 Cd 0.4474 0.7911 0.1174  5 Au 2.79-3.02
6 Cd 0.5526 0.2089 0.8826  5 Au 2.79-3.02
7 Cd 0.6646 0.6646 0.6646  6 Au 2.86-2.88
8 Cd 0.7911 0.1174 0.4474  5 Au 2.79-3.02
9 Cd 0.8826 0.5526 0.2089  5 Au 2.79-3.02
10 Au 0.0531 0.7089 0.3976  7 Cd 2.79-3.02, 1 Pm 3.00
11 Au 0.2911 0.6024 0.9469  7 Cd 2.79-3.02, 1 Pm 3.00
12 Au 0.3976 0.0531 0.7089  7 Cd 2.79-3.02, 1 Pm 3.00
13 Au 0.6024 0.9469 0.2911  7 Cd 2.79-3.02, 1 Pm 3.00
14 Au 0.7089 0.3976 0.0531  7 Cd 2.79-3.02, 1 Pm 3.00
15 Au 0.9469 0.2911 0.6024  7 Cd 2.79-3.02, 1 Pm 3.00

***

# 4
Here is a geometry-optimized Pm2Cd5Au3 structure from Alexandria. Energies are from PBE.

**Calculated volume**: 471.00 Å³/cell
**Calculated total energy**: -2.83 eV/atom
**DOS(E_F)**: 5.57 states/eV/f.u.
**M_tot**: 0.00 μB per atom
**Formation energy**: -442.9 meV/atom
**Space-group type**: Cmc2_1, No. 36

a b c (Å): 13.8296 13.8296 7.7477
angles (deg): 90.00 90.00 161.47
With the nearest neighbours (Å) after each atom.
Positions (direct):
1 Pm 0.0229 0.9771 0.5000  5 Au 3.02-3.30, 2 Cd 3.33
2 Pm 0.3214 0.6786 0.3837  4 Au 3.11-3.21, 6 Cd 3.31-3.48
3 Pm 0.6786 0.3214 0.8837  4 Au 3.11-3.21, 6 Cd 3.31-3.48
4 Pm 0.9771 0.0229 0.0000  5 Au 3.02-3.30, 2 Cd 3.33
5 Cd 0.1009 0.8991 0.1106  1 Cd 2.86, 3 Au 2.87-2.99
6 Cd 0.2035 0.7965 0.1870  3 Au 2.83-2.88, 2 Cd 2.86-3.01
7 Cd 0.2061 0.7939 0.5751  4 Au 2.80-2.83, 1 Cd 3.01
8 Cd 0.3734 0.6266 0.9482  4 Au 2.93-3.12, 2 Cd 3.26
9 Cd 0.4447 0.5553 0.3385  4 Au 2.82-2.95
10 Cd 0.5553 0.4447 0.8385  4 Au 2.82-2.95
11 Cd 0.6266 0.3734 0.4482  4 Au 2.93-3.12, 2 Cd 3.26
12 Cd 0.7939 0.2061 0.0751  4 Au 2.80-2.83, 1 Cd 3.01
13 Cd 0.7965 0.2035 0.6870  3 Au 2.83-2.88, 2 Cd 2.86-3.01
14 Cd 0.8991 0.1009 0.6106  1 Cd 2.86, 3 Au 2.87-2.99
15 Au 0.1129 0.8871 0.7266  6 Cd 2.80-3.12, 3 Pm 3.02-3.11
16 Au 0.2632 0.7368 0.8802  7 Cd 2.82-3.05
17 Au 0.4581 0.5419 0.7160  5 Cd 2.82-2.95
18 Au 0.5419 0.4581 0.2160  5 Cd 2.82-2.95
19 Au 0.7368 0.2632 0.3802  7 Cd 2.82-3.05
20 Au 0.8871 0.1129 0.2266  6 Cd 2.80-3.12, 3 Pm 3.02-3.11

***

# 5
Here is a geometry-optimized PmCd2Au6 structure from Alexandria. Energies are from PBE.

**Calculated volume**: 194.50 Å³/cell
**Calculated total energy**: -3.23 eV/atom
**DOS(E_F)**: 4.19 states/eV/f.u.
**M_tot**: 0.00 μB per atom
**Formation energy**: -311.0 meV/atom
**Space-group type**: Immm, No. 71

a b c (Å): 8.2274 8.2274 8.2274
angles (deg): 155.05 123.51 62.69
With the nearest neighbours (Å) after each atom.
Positions (direct):
1 Pm 0.0000 0.0000 0.0000  12 Au 3.07-3.37
2 Cd 0.3577 0.8577 0.5000  10 Au 2.88-3.11
3 Cd 0.6423 0.1423 0.5000  10 Au 2.88-3.11
4 Au 0.0010 0.3220 0.6790  4 Au 2.74-2.91, 1 Cd 2.88
5 Au 0.3215 0.5000 0.8215  3 Au 2.74-2.78, 4 Cd 3.02
6 Au 0.3570 0.6780 0.6790  4 Au 2.74-2.91, 1 Cd 2.88
7 Au 0.6430 0.3220 0.3210  4 Au 2.74-2.91, 1 Cd 2.88
8 Au 0.6785 0.5000 0.1785  3 Au 2.74-2.78, 4 Cd 3.02
9 Au 0.9990 0.6780 0.3210  4 Au 2.74-2.91, 1 Cd 2.88

***

# 6
Here is a geometry-optimized PmCd4Au4 structure from Alexandria. Energies are from PBE.

**Calculated volume**: 404.32 Å³/cell
**Calculated total energy**: -2.64 eV/atom
**DOS(E_F)**: 3.66 states/eV/f.u.
**M_tot**: 0.00 μB per atom
**Formation energy**: -243.9 meV/atom
**Space-group type**: P4_2/nmc, No. 137

a b c (Å): 6.4773 6.4773 9.6369
angles (deg): 90.00 90.00 90.00
With the nearest neighbours (Å) after each atom.
Positions (direct):
1 Pm 0.2500 0.7500 0.2500  4 Au 3.17
2 Pm 0.7500 0.2500 0.7500  4 Au 3.17
3 Cd 0.0274 0.2500 0.1725  5 Au 2.84-2.90, 3 Cd 2.88-2.95
4 Cd 0.2500 0.0274 0.6725  5 Au 2.84-2.90, 3 Cd 2.88-2.95
5 Cd 0.2500 0.4726 0.6725  5 Au 2.84-2.90, 3 Cd 2.88-2.95
6 Cd 0.4726 0.2500 0.1725  5 Au 2.84-2.90, 3 Cd 2.88-2.95
7 Cd 0.5274 0.7500 0.8275  5 Au 2.84-2.90, 3 Cd 2.88-2.95
8 Cd 0.7500 0.5274 0.3275  5 Au 2.84-2.90, 3 Cd 2.88-2.95
9 Cd 0.7500 0.9726 0.3275  5 Au 2.84-2.90, 3 Cd 2.88-2.95
10 Cd 0.9726 0.7500 0.8275  5 Au 2.84-2.90, 3 Cd 2.88-2.95
11 Au 0.0148 0.2500 0.4738  5 Cd 2.84-2.90, 1 Au 3.05, 1 Pm 3.17
12 Au 0.2500 0.0148 0.9738  5 Cd 2.84-2.90, 1 Au 3.05, 1 Pm 3.17
13 Au 0.2500 0.4852 0.9738  5 Cd 2.84-2.90, 1 Au 3.05, 1 Pm 3.17
14 Au 0.4852 0.2500 0.4738  5 Cd 2.84-2.90, 1 Au 3.05, 1 Pm 3.17
15 Au 0.5148 0.7500 0.5262  5 Cd 2.84-2.90, 1 Au 3.05, 1 Pm 3.17
16 Au 0.7500 0.5148 0.0262  5 Cd 2.84-2.90, 1 Au 3.05, 1 Pm 3.17
17 Au 0.7500 0.9852 0.0262  5 Cd 2.84-2.90, 1 Au 3.05, 1 Pm 3.17
18 Au 0.9852 0.7500 0.5262  5 Cd 2.84-2.90, 1 Au 3.05, 1 Pm 3.17

***

Among the records above, which one has the highest calculated volume?
Pm2Cd5Au3

***

Copy entry 6 word for word.
Here is a geometry-optimized PmCd4Au4 structure from Alexandria. Energies are from PBE.

**Calculated volume**: 404.32 Å³/cell
**Calculated total energy**: -2.64 eV/atom
**DOS(E_F)**: 3.66 states/eV/f.u.
**M_tot**: 0.00 μB per atom
**Formation energy**: -243.9 meV/atom
**Space-group type**: P4_2/nmc, No. 137

a b c (Å): 6.4773 6.4773 9.6369
angles (deg): 90.00 90.00 90.00
With the nearest neighbours (Å) after each atom.
Positions (direct):
1 Pm 0.2500 0.7500 0.2500  4 Au 3.17
2 Pm 0.7500 0.2500 0.7500  4 Au 3.17
3 Cd 0.0274 0.2500 0.1725  5 Au 2.84-2.90, 3 Cd 2.88-2.95
4 Cd 0.2500 0.0274 0.6725  5 Au 2.84-2.90, 3 Cd 2.88-2.95
5 Cd 0.2500 0.4726 0.6725  5 Au 2.84-2.90, 3 Cd 2.88-2.95
6 Cd 0.4726 0.2500 0.1725  5 Au 2.84-2.90, 3 Cd 2.88-2.95
7 Cd 0.5274 0.7500 0.8275  5 Au 2.84-2.90, 3 Cd 2.88-2.95
8 Cd 0.7500 0.5274 0.3275  5 Au 2.84-2.90, 3 Cd 2.88-2.95
9 Cd 0.7500 0.9726 0.3275  5 Au 2.84-2.90, 3 Cd 2.88-2.95
10 Cd 0.9726 0.7500 0.8275  5 Au 2.84-2.90, 3 Cd 2.88-2.95
11 Au 0.0148 0.2500 0.4738  5 Cd 2.84-2.90, 1 Au 3.05, 1 Pm 3.17
12 Au 0.2500 0.0148 0.9738  5 Cd 2.84-2.90, 1 Au 3.05, 1 Pm 3.17
13 Au 0.2500 0.4852 0.9738  5 Cd 2.84-2.90, 1 Au 3.05, 1 Pm 3.17
14 Au 0.4852 0.2500 0.4738  5 Cd 2.84-2.90, 1 Au 3.05, 1 Pm 3.17
15 Au 0.5148 0.7500 0.5262  5 Cd 2.84-2.90, 1 Au 3.05, 1 Pm 3.17
16 Au 0.7500 0.5148 0.0262  5 Cd 2.84-2.90, 1 Au 3.05, 1 Pm 3.17
17 Au 0.7500 0.9852 0.0262  5 Cd 2.84-2.90, 1 Au 3.05, 1 Pm 3.17
18 Au 0.9852 0.7500 0.5262  5 Cd 2.84-2.90, 1 Au 3.05, 1 Pm 3.17

***

The lowest calculated total energy belongs to which entry?
Pm6CdAu5

***

calculated volume of number 6 (PmCd4Au4)?
404.32 Å³/cell